(1)
SrZrCu2 (GGA-PBEsol, relaxed); V = 72 Å³/f.u.; symmetry = No. 216; crystal system = cubic; DFT formation energy = 0.484 eV per atom
1.0
0.0000 3.2979 3.2979
3.2979 0.0000 3.2979
3.2979 3.2979 0.0000
Sr Zr Cu
1 1 2
Cartesian
0.0000 0.0000 0.0000
4.9468 4.9468 4.9468
1.6489 1.6489 1.6489
3.2979 3.2979 3.2979

***

(2)
SrZrCu2 (GGA-PBEsol, relaxed); V = 82 Å³/f.u.; symmetry = No. 99; crystal system = tetragonal; DFT formation energy = 0.214 eV per atom
1.0
3.2737 0.0000 0.0000
0.0000 3.2737 0.0000
0.0000 0.0000 7.6193
Sr Zr Cu
1 1 2
Cartesian
0.0000 0.0000 0.0000
1.6369 1.6369 2.8798
0.0000 0.0000 4.4727
1.6369 1.6369 5.5053

***

(3)
SrZr2Cu (GGA-PBEsol, relaxed); V = 89 Å³/f.u.; symmetry = No. 119; crystal system = tetragonal; DFT formation energy = 0.593 eV per atom
1.0
-2.2443 2.2443 4.4014
2.2443 -2.2443 4.4014
2.2443 2.2443 -4.4014
Sr Zr Cu
1 2 1
Cartesian
0.0000 0.0000 0.0000
0.0000 0.0000 4.4014
0.0000 2.2443 2.2007
2.2443 0.0000 2.2007

***

(4)
SrZrCu2 (GGA-PBEsol, relaxed); V = 93 Å³/f.u.; symmetry = No. 160; crystal system = trigonal; DFT formation energy = 0.170 eV per atom
1.0
2.0977 1.2111 6.1324
-2.0977 1.2111 6.1324
0.0000 -2.4223 6.1324
Sr Zr Cu
1 1 2
Cartesian
0.0000 0.0000 0.0000
0.0000 0.0000 3.3553
0.0000 0.0000 8.3317
0.0000 0.0000 14.4923

***

(5)
TaCu5 (GGA-PBEsol, relaxed); V = 75 Å³/f.u.; symmetry = No. 189; crystal system = hexagonal; DFT formation energy = 0.084 eV per atom
1.0
4.4650 0.0000 0.0000
-2.2325 3.8668 0.0000
0.0000 0.0000 4.3156
Ta Cu
1 5
Cartesian
0.0000 0.0000 0.0000
-1.4719 2.5494 2.1578
0.0000 2.5778 0.0000
0.7606 1.3174 2.1578
2.9438 0.0000 2.1578
2.2325 1.2889 0.0000

***

(6)
TaCu (GGA-PBEsol, relaxed); V = 29 Å³/f.u.; symmetry = No. 12; crystal system = monoclinic; DFT formation energy = 0.149 eV per atom
1.0
5.0391 -1.4150 0.0000
5.0391 1.4150 0.0000
-2.1024 0.0000 4.1109
Ta Cu
2 2
Cartesian
0.3997 0.0000 1.5004
7.5761 0.0000 2.6105
3.3867 0.0000 0.4533
4.5890 0.0000 3.6576

***

> DFT formation energy of number 5 (TaCu5)?

0.084 eV per atom

***

> Which formula does entry 5 have?

TaCu5